A geometry-optimized NdThCO structure, computed with GGA-PBE.

Raw formation energy = -1561 meV per atom

Cell lengths 3.7025, 3.7025, 5.1932 Å; angles 90.00, 90.00, 90.00 degrees
Space group P4/mmm (No. 123)
Symmetry-distinct sites (fractional):
Nd  0.0000  0.0000  0.0000 (multiplicity 1)
Th  0.5000  0.5000  0.5000 (multiplicity 1)
C  0.0000  0.0000  0.5000 (multiplicity 1)
O  0.5000  0.5000  0.0000 (multiplicity 1)

A geometry-optimized NdTlC2O6 structure, computed with GGA-PBE.

Raw formation energy = -1921 meV per atom

Cell lengths 8.9388, 9.8164, 7.3578 Å; angles 90.00, 111.66, 90.00 degrees
Space group C2/c (No. 15)
Symmetry-distinct sites (fractional):
Nd  0.0000  0.0980  0.2500 (multiplicity 4)
Tl  0.0000  0.3858  0.7500 (multiplicity 4)
C  0.2297  0.1224  0.7515 (multiplicity 8)
O  0.0882  0.1147  0.6070 (multiplicity 8)
O  0.1751  0.2778  0.2341 (multiplicity 8)
O  0.2362  0.4758  0.1211 (multiplicity 8)

A geometry-optimized NdTl2C2O6 structure, computed with GGA-PBE.

Raw formation energy = -1631 meV per atom

Cell lengths 9.6656, 5.4649, 9.2131 Å; angles 90.00, 121.36, 90.00 degrees
Space group C2/m (No. 12)
Symmetry-distinct sites (fractional):
Nd  0.0000  0.0000  0.0000 (multiplicity 2)
Tl  0.1707  0.0000  0.5156 (multiplicity 4)
C  0.0772  0.5000  0.8236 (multiplicity 4)
O  0.0043  0.2950  0.8147 (multiplicity 8)
O  0.2161  0.5000  0.8365 (multiplicity 4)

A geometry-optimized NdTmCO structure, computed with GGA-PBE.

Raw formation energy = -1167 meV per atom

Cell lengths 3.1632, 3.3538, 12.0819 Å; angles 90.00, 90.00, 90.00 degrees
Space group Imm2 (No. 44)
Symmetry-distinct sites (fractional):
Nd  0.0000  0.0000  0.0000 (multiplicity 2)
Tm  0.0000  0.5000  0.2511 (multiplicity 2)
C  0.0000  0.5000  0.8386 (multiplicity 2)
O  0.0000  0.0000  0.5988 (multiplicity 2)

A geometry-optimized NdYCO structure, computed with GGA-PBE.

Raw formation energy = -1133 meV per atom

Cell lengths 3.2199, 3.3588, 12.2087 Å; angles 90.00, 90.00, 90.00 degrees
Space group Imm2 (No. 44)
Symmetry-distinct sites (fractional):
Nd  0.0000  0.0000  0.0000 (multiplicity 2)
Y  0.0000  0.5000  0.2517 (multiplicity 2)
C  0.0000  0.5000  0.8405 (multiplicity 2)
O  0.0000  0.0000  0.5931 (multiplicity 2)

A geometry-optimized NdZn3C4O12 structure, computed with GGA-PBE.

Raw formation energy = -1528 meV per atom

Cell lengths 9.6899, 9.6899, 8.2029 Å; angles 90.00, 90.00, 120.00 degrees
Space group R32 (No. 155, hexagonal axes)
Symmetry-distinct sites (fractional):
Nd  0.0000  0.0000  0.0000 (multiplicity 3)
Zn  0.0000  0.5415  0.0000 (multiplicity 9)
C  0.0000  0.0000  0.5000 (multiplicity 3)
C  0.0000  0.4540  0.5000 (multiplicity 9)
O  0.0000  0.5883  0.5000 (multiplicity 9)
O  0.0000  0.8649  0.5000 (multiplicity 9)
O  0.0130  0.2106  0.1707 (multiplicity 18)

A geometry-optimized NdOsC2 structure, computed with GGA-PBE.

Relative energy among the computed polymorphs = 449 meV per atom
Energy of formation = 0.43 eV/atom

Cell lengths 3.3760, 3.3760, 16.1476 Å; angles 90.00, 90.00, 120.00 degrees
Space group R-3m (No. 166, hexagonal axes)
Symmetry-distinct sites (fractional):
Nd  0.0000  0.0000  0.0000 (multiplicity 3)
Os  0.0000  0.0000  0.5000 (multiplicity 3)
C  0.0000  0.0000  0.2280 (multiplicity 6)

A geometry-optimized Nd12Os5C15 structure, computed with GGA-PBE.

Energy of formation = -0.24 eV/atom

Cell lengths 10.9940, 10.9940, 5.3438 Å; angles 90.00, 90.00, 120.00 degrees
Space group P-62m (No. 189)
Symmetry-distinct sites (fractional):
Nd  0.0000  0.4296  0.0000 (multiplicity 3)
Nd  0.0000  0.7933  0.0000 (multiplicity 3)
Nd  0.1843  0.7267  0.5000 (multiplicity 6)
Os  0.0000  0.1609  0.5000 (multiplicity 3)
Os  0.3333  0.6667  0.0000 (multiplicity 2)
C  0.0000  0.3321  0.5000 (multiplicity 3)
C  0.0000  0.4535  0.5000 (multiplicity 3)
C  0.0000  0.8003  0.5000 (multiplicity 3)
C  0.1862  0.7121  0.0000 (multiplicity 6)

A geometry-optimized NdOsC2 structure, computed with GGA-PBE.

Relative energy among the computed polymorphs = 0 meV per atom
Energy of formation = -0.02 eV/atom

Cell lengths 4.0389, 4.7653, 6.2193 Å; angles 90.00, 90.00, 90.00 degrees
Space group Amm2 (No. 38)
Symmetry-distinct sites (fractional):
Nd  0.0000  0.0000  0.0000 (multiplicity 2)
Os  0.5000  0.0000  0.6115 (multiplicity 2)
C  0.5000  0.1494  0.2926 (multiplicity 4)

A geometry-optimized Nd3OsC2 structure, computed with GGA-PBE.

Energy of formation = 0.02 eV/atom

Cell lengths 9.6182, 7.6653, 6.5346 Å; angles 90.00, 90.00, 90.00 degrees
Space group Cmcm (No. 63)
Symmetry-distinct sites (fractional):
Nd  0.0000  0.2433  0.2500 (multiplicity 4)
Nd  0.2223  0.0000  0.0000 (multiplicity 8)
Os  0.0000  0.3480  0.7500 (multiplicity 4)
C  0.0000  0.0938  0.7500 (multiplicity 4)
C  0.0000  0.5000  0.0000 (multiplicity 4)

A geometry-optimized NdPOs2C structure, computed with GGA-PBE.

Energy of formation = -0.45 eV/atom

Cell lengths 3.9378, 11.0759, 7.1390 Å; angles 90.00, 90.00, 90.00 degrees
Space group Cmcm (No. 63)
Symmetry-distinct sites (fractional):
Nd  0.0000  0.0462  0.2500 (multiplicity 4)
P  0.0000  0.2296  0.7500 (multiplicity 4)
Os  0.0000  0.3324  0.0533 (multiplicity 8)
C  0.0000  0.5000  0.0000 (multiplicity 4)

A geometry-optimized PmNd2OsC2 structure, computed with GGA-PBE.

Energy of formation = -0.05 eV/atom

Cell lengths 5.7524, 11.3699, 3.9008 Å; angles 90.00, 90.00, 90.00 degrees
Space group Pnnm (No. 58)
Symmetry-distinct sites (fractional):
Pm  0.0000  0.0000  0.0000 (multiplicity 2)
Nd  0.0392  0.2939  0.5000 (multiplicity 4)
Os  0.0000  0.5000  0.0000 (multiplicity 2)
C  0.2386  0.8894  0.5000 (multiplicity 4)